No. 1
TiAgTeF2 | PBE | relaxed

Unit cell a=4.030 b=4.030 c=5.802 alpha=90.00 beta=90.00 gamma=90.00
Sites, in units of the cell vectors:
Ti: 0.000 0.000 0.000
F: 0.500 0.000 0.000
Ag: 0.500 0.500 0.500
Te: 0.000 0.000 0.500
F: 0.000 0.500 0.000

Summary:
* magnetic moment: 1.1 μB/f.u.
* raw formation energy: -1776 meV per atom
* total DFT energy (no corrections): -5.302 eV/atom



No. 2
TlAgTeF6 | PBE | relaxed

Unit cell a=6.489 b=6.511 c=4.988 alpha=90.04 beta=89.77 gamma=58.94
Sites, in units of the cell vectors:
F: 0.077 0.367 0.290
F: 0.661 0.319 0.677
Tl: 0.002 0.004 0.030
Ag: 0.669 0.666 0.540
Te: 0.334 0.333 0.537
F: 0.027 0.666 0.684
F: 0.316 0.018 0.681
F: 0.359 0.549 0.279
F: 0.555 0.079 0.281

Summary:
* magnetic moment: 0.0 μB/f.u.
* raw formation energy: -1835 meV per atom
* total DFT energy (no corrections): -4.012 eV/atom